No. 1
A relaxed structure of Mg2PPd6, computed with PBE.

a b c (Å): 7.4619 7.4619 2.8893
angles (deg): 90.00 90.00 120.00
Space group P-31m (No. 162)
Symmetry-distinct sites (fractional):
Mg (0.3333, 0.6667, 0.0000)
P (0.0000, 0.0000, 0.5000)
Pd (0.0000, 0.3260, 0.7243)

Values from the calculation:
Mass density: 8.6 g/cm3
DFT formation energy: -40.3 kJ/mol of atoms

***

No. 2
A relaxed structure of Ta4Cr3Os, computed with PBE.

a b c (Å): 4.4198 4.4198 6.2421
angles (deg): 90.00 90.00 90.00
Space group P4/mmm (No. 123)
Symmetry-distinct sites (fractional):
Ta (0.0000, 0.5000, 0.2457)
Cr (0.0000, 0.0000, 0.0000)
Cr (0.0000, 0.0000, 0.5000)
Cr (0.5000, 0.5000, 0.0000)
Os (0.5000, 0.5000, 0.5000)

Values from the calculation:
Mass density: 14.6 g/cm3
DFT formation energy: -18.7 kJ/mol of atoms

***

The lowest DFT formation energy belongs to which entry? Mg2PPd6

***

What is the mass density in the second record? 14.6 g/cm3

***

The lowest DFT formation energy belongs to which entry? Mg2PPd6

***

mass density of number 1 (Mg2PPd6)? 8.6 g/cm3